Record 1
The following is a DFT calculation (PBE) of a geometry-optimized AcGe3Ru3 structure.

The energy of formation is -169 meV/atom. The value obtained for the energy above the most stable polymorph in this dataset is 0.144 eV per atom.

It has space group R-3 (No. 148, hexagonal axes), with a = 6.8023 Å, b = 6.8023 Å, c = 22.3127 Å, α = 90.00°, β = 90.00° and γ = 120.00°. Symmetry generates all atoms from Ac at (0.0000, 0.0000, 0.1721), Ge at (0.0357, 0.6072, 0.2664) and Ru at (0.0189, 0.7680, 0.7094).

Record 2
The following is a DFT calculation (PBE) of a geometry-optimized LiAlHRu2 structure.

Its total energy is -5.664 eV/atom.

It has space group P4/mmm (No. 123), with a = 4.050 Å, b = 4.050 Å, c = 3.308 Å, α = 90.00°, β = 90.00° and γ = 90.00°. Symmetry generates all atoms from Li at (0.000, 0.000, 0.000), Al at (0.500, 0.500, 0.000), H at (0.000, 0.000, 0.500) and Ru at (0.000, 0.500, 0.500).